## ZrIrNO (PBE)

Data for a geometry-optimized ZrIrNO structure.

Results
Energy above the most stable polymorph in this dataset, kJ/mol of formula units: 156
Calculated volume, Å³/f.u.: 52.3
E_tot, eV/atom: -8.61

Lattice parameters (Å, degrees): 3.0393 6.0332 5.7091 90.00 90.00 90.00
Atoms (fractional coordinates):
Zr (0.0000, 0.1402, 0.0000)
Zr (0.0000, 0.8598, 0.5000)
Ir (0.5000, 0.2751, 0.5999)
Ir (0.5000, 0.7249, 0.0999)
N (0.0000, 0.1907, 0.3769)
N (0.0000, 0.8093, 0.8769)
O (0.5000, 0.3829, 0.9471)
O (0.5000, 0.6171, 0.4471)